Record 1
Compound: TlH2OsAu
Source: Alexandria via LeMat-Bulk
Functional: PBE
Structure: optimized geometry

Cell and atoms, written as POSCAR:
```
TlH2OsAu
1.0
-1.217 -1.441 -3.252
-3.768 -2.881 2.686
-2.429 2.848 -0.353
Au Os H Tl
1 1 2 1
Direct
0.000 0.000 0.000
0.000 0.500 0.000
0.500 0.000 0.000
0.000 0.000 0.500
0.500 0.500 0.500
```

Summary:
Its space-group type is P4/mmm (123).

Record 2
Compound: In6SnPb8
Source: Alexandria via LeMat-Bulk
Functional: PBE
Structure: optimized geometry

Cell and atoms, written as POSCAR:
```
In6SnPb8
1.0
7.497 -0.244 2.963
1.928 7.249 2.963
-0.329 -0.244 8.054
Pb In Sn
8 6 1
Direct
0.412 0.412 0.412
0.364 0.940 0.228
0.772 0.636 0.060
0.636 0.060 0.772
0.588 0.588 0.588
0.060 0.772 0.636
0.940 0.228 0.364
0.228 0.364 0.940
0.043 0.620 0.292
0.708 0.957 0.380
0.620 0.292 0.043
0.957 0.380 0.708
0.292 0.043 0.620
0.380 0.708 0.957
0.000 0.000 0.000
```

Summary:
Its space-group type is R-3 (148).

Record 3
Compound: Ta2MnCr
Source: Alexandria via LeMat-Bulk
Functional: PBE
Structure: optimized geometry

Cell and atoms, written as POSCAR:
```
Ta2MnCr
1.0
-1.387 0.291 8.595
-3.821 -1.035 7.759
-1.411 -2.577 8.200
Ta Mn Cr
2 1 1
Direct
0.007 0.007 0.007
0.243 0.243 0.243
0.758 0.758 0.758
0.491 0.491 0.491
```

Summary:
Its space-group type is R3m (160).

Record 4
Compound: SrPmPr2
Source: Alexandria via LeMat-Bulk
Functional: PBE
Structure: optimized geometry

Cell and atoms, written as POSCAR:
```
SrPmPr2
1.0
-0.388 3.345 1.735
-3.426 1.170 1.113
0.438 -4.057 12.055
Pm Sr Pr
1 1 2
Direct
0.666 0.666 0.001
0.500 0.500 0.499
0.078 0.078 0.767
0.256 0.256 0.233
```

Summary:
Its space-group type is R3m (160). Its polymorph energy (0 for the lowest one) is 4.2 meV per atom.

Record 5
Compound: Te2As
Source: Alexandria via LeMat-Bulk
Functional: PBE
Structure: optimized geometry

Cell and atoms, written as POSCAR:
```
Te2As
1.0
4.109 0.000 0.000
0.000 5.214 0.000
0.000 0.000 8.151
Te As
4 2
Direct
0.000 0.171 0.651
0.500 0.671 0.849
0.000 0.829 0.349
0.500 0.329 0.151
0.000 0.000 0.000
0.500 0.500 0.500
```

Summary:
Its space-group type is Pnnm (58). Its polymorph energy (0 for the lowest one) is 119.6 meV per atom. The energy relative to the elements, uncorrected comes out at 159 meV per atom.

Record 6
Compound: LaW
Source: Alexandria via LeMat-Bulk
Functional: PBE
Structure: optimized geometry

Cell and atoms, written as POSCAR:
```
LaW
1.0
-2.396 1.114 1.382
2.045 -1.518 1.552
2.858 4.888 1.014
La W
1 1
Direct
0.000 0.000 0.000
0.333 0.667 0.500
```

Summary:
Its space-group type is P-6m2 (187). Its polymorph energy (0 for the lowest one) is 682.8 meV per atom.

Record 7
Compound: Cr2FeTe
Source: Alexandria via LeMat-Bulk
Functional: PBE
Structure: optimized geometry

Cell and atoms, written as POSCAR:
```
Cr2FeTe
1.0
3.772 0.000 0.000
0.000 3.871 0.000
0.000 0.000 3.871
Fe Cr Te
1 2 1
Direct
0.500 0.500 0.000
0.000 0.000 0.000
0.000 0.500 0.500
0.500 0.000 0.500
```

Summary:
Its space-group type is P4/mmm (123). Its polymorph energy (0 for the lowest one) is 24.1 meV per atom. The energy relative to the elements, uncorrected comes out at 383 meV per atom.

Going through the records in order, we get calculated total energy values of -3.83, -3.28, -10.31, -3.92, -3.49, -7.91, -7.33 eV per atom.